Run a
This record from the Alexandria database describes crystalline TlSb2TePd at its relaxed geometry. The functional is GGA-PBE.

Results
Total magnetization (μB/f.u.): 0.000
DOS(E_F) (states/eV per cell): 5.96
Space group: P4/mmm (123)

a b c (Å): 5.631 5.631 5.748
angles (deg): 90.00 90.00 90.00
Fractional coordinates of all 5 atoms:
Tl (0.000, 0.000, 0.000)
Sb (0.000, 0.500, 0.000)
Sb (0.500, 0.000, 0.000)
Te (0.000, 0.000, 0.500)
Pd (0.500, 0.500, 0.500)

Run b
This record from the Alexandria database describes crystalline TlSb2TePd at its relaxed geometry. The functional is GGA-PBE.

Results
Total magnetization (μB/f.u.): 0.000
DOS(E_F) (states/eV per cell): 4.76
Space group: P4/mmm (123)

a b c (Å): 5.240 5.240 5.671
angles (deg): 90.00 90.00 90.00
Fractional coordinates of all 5 atoms:
Tl (0.000, 0.000, 0.000)
Sb (0.000, 0.500, 0.500)
Sb (0.500, 0.000, 0.500)
Te (0.500, 0.500, 0.000)
Pd (0.500, 0.500, 0.500)

Which of them is the least stable? Correct choice: run a.

Run a
This record from the Alexandria database describes crystalline VSb2TePd at its relaxed geometry. The functional is GGA-PBE.

Results
Total magnetization (μB/f.u.): 3.189
DOS(E_F) (states/eV per cell): 6.83
Space group: P4/mmm (123)

a b c (Å): 5.131 5.131 5.430
angles (deg): 90.00 90.00 90.00
Fractional coordinates of all 5 atoms:
V (0.000, 0.000, 0.000)
Sb (0.000, 0.500, 0.500)
Sb (0.500, 0.000, 0.500)
Te (0.500, 0.500, 0.000)
Pd (0.500, 0.500, 0.500)

Run b
This record from the Alexandria database describes crystalline VSb2TePd at its relaxed geometry. The functional is GGA-PBE.

Results
Total magnetization (μB/f.u.): 0.000
DOS(E_F) (states/eV per cell): 4.40
Space group: P4/mmm (123)

a b c (Å): 5.080 5.080 5.065
angles (deg): 90.00 90.00 90.00
Fractional coordinates of all 5 atoms:
V (0.000, 0.000, 0.000)
Sb (0.000, 0.500, 0.000)
Sb (0.500, 0.000, 0.000)
Te (0.000, 0.000, 0.500)
Pd (0.500, 0.500, 0.500)

Which of them is the least stable? Correct choice: run a.

Run a
This record from the Alexandria database describes crystalline VSbTe2Pd at its relaxed geometry. The functional is GGA-PBE.

Results
Total magnetization (μB/f.u.): 0.001
DOS(E_F) (states/eV per cell): 4.88
Space group: P4/mmm (123)

a b c (Å): 5.108 5.108 5.108
angles (deg): 90.00 90.00 90.00
Fractional coordinates of all 5 atoms:
V (0.000, 0.000, 0.000)
Sb (0.000, 0.000, 0.500)
Te (0.000, 0.500, 0.000)
Te (0.500, 0.000, 0.000)
Pd (0.500, 0.500, 0.500)

Run b
This record from the Alexandria database describes crystalline VSbTe2Pd at its relaxed geometry. The functional is GGA-PBE.

Results
Total magnetization (μB/f.u.): 0.007
DOS(E_F) (states/eV per cell): 9.27
Space group: P4/mmm (123)

a b c (Å): 5.340 5.340 5.029
angles (deg): 90.00 90.00 90.00
Fractional coordinates of all 5 atoms:
V (0.000, 0.000, 0.000)
Sb (0.500, 0.500, 0.000)
Te (0.000, 0.500, 0.500)
Te (0.500, 0.000, 0.500)
Pd (0.500, 0.500, 0.500)

Which of them is the least stable? Correct choice: run b.

Run a
This record from the Alexandria database describes crystalline ZrSb2TePd at its relaxed geometry. The functional is GGA-PBE.

Results
Total magnetization (μB/f.u.): 0.000
DOS(E_F) (states/eV per cell): 4.16
Space group: P4/mmm (123)

a b c (Å): 5.517 5.517 5.491
angles (deg): 90.00 90.00 90.00
Fractional coordinates of all 5 atoms:
Zr (0.000, 0.000, 0.000)
Sb (0.000, 0.500, 0.000)
Sb (0.500, 0.000, 0.000)
Te (0.000, 0.000, 0.500)
Pd (0.500, 0.500, 0.500)

Run b
This record from the Alexandria database describes crystalline ZrSb2TePd at its relaxed geometry. The functional is GGA-PBE.

Results
Total magnetization (μB/f.u.): 0.001
DOS(E_F) (states/eV per cell): 6.03
Space group: P4/mmm (123)

a b c (Å): 5.651 5.651 5.283
angles (deg): 90.00 90.00 90.00
Fractional coordinates of all 5 atoms:
Zr (0.000, 0.000, 0.000)
Sb (0.000, 0.500, 0.500)
Sb (0.500, 0.000, 0.500)
Te (0.000, 0.000, 0.500)
Pd (0.500, 0.500, 0.000)

Which of them is the least stable? Correct choice: run b.

Run a
This record from the Alexandria database describes crystalline ThSb2Pd6 at its relaxed geometry. The functional is GGA-PBE.

Results
Total magnetization (μB/f.u.): 0.000
DOS(E_F) (states/eV per cell): 4.94
Space group: C2/m (12)

a b c (Å): 5.827 5.827 5.496
angles (deg): 98.67 98.67 73.14
Fractional coordinates of all 9 atoms:
Th (0.000, 0.000, 0.000)
Sb (0.396, 0.396, 0.201)
Sb (0.604, 0.604, 0.799)
Pd (0.083, 0.491, 0.766)
Pd (0.195, 0.805, 0.500)
Pd (0.491, 0.083, 0.766)
Pd (0.509, 0.917, 0.234)
Pd (0.805, 0.195, 0.500)
Pd (0.917, 0.509, 0.234)

Run b
This record from the Alexandria database describes crystalline ThSb2Pd6 at its relaxed geometry. The functional is GGA-PBE.

Results
Total magnetization (μB/f.u.): 0.000
DOS(E_F) (states/eV per cell): 4.72
Space group: P-31m (162)

a b c (Å): 5.591 5.591 7.130
angles (deg): 90.00 90.00 120.00
Fractional coordinates of all 9 atoms:
Th (0.000, 0.000, 0.000)
Sb (0.333, 0.667, 0.500)
Sb (0.667, 0.333, 0.500)
Pd (0.000, 0.499, 0.806)
Pd (0.000, 0.501, 0.194)
Pd (0.499, 0.000, 0.806)
Pd (0.499, 0.499, 0.194)
Pd (0.501, 0.000, 0.194)
Pd (0.501, 0.501, 0.806)

Which of them is the least stable? Correct choice: run b.

Run a
This record from the Alexandria database describes crystalline TiSb3Pd at its relaxed geometry. The functional is GGA-PBE.

Results
Total magnetization (μB/f.u.): 0.000
DOS(E_F) (states/eV per cell): 6.63
Space group: Pm-3m (221)

a b c (Å): 5.168 5.168 5.168
angles (deg): 90.00 90.00 90.00
Fractional coordinates of all 5 atoms:
Ti (0.000, 0.000, 0.000)
Sb (0.000, 0.500, 0.500)
Sb (0.500, 0.000, 0.500)
Sb (0.500, 0.500, 0.000)
Pd (0.500, 0.500, 0.500)

Run b
This record from the Alexandria database describes crystalline TiSb3Pd at its relaxed geometry. The functional is GGA-PBE.

Results
Total magnetization (μB/f.u.): 0.000
DOS(E_F) (states/eV per cell): 3.32
Space group: Pm-3m (221)

a b c (Å): 5.182 5.182 5.182
angles (deg): 90.00 90.00 90.00
Fractional coordinates of all 5 atoms:
Ti (0.000, 0.000, 0.000)
Sb (0.000, 0.000, 0.500)
Sb (0.000, 0.500, 0.000)
Sb (0.500, 0.000, 0.000)
Pd (0.500, 0.500, 0.500)

Which of them is the least stable? Correct choice: run a.

Run a
This record from the Alexandria database describes crystalline Ti2SbPd2 at its relaxed geometry. The functional is GGA-PBE.

Results
Total magnetization (μB/f.u.): 0.000
DOS(E_F) (states/eV per cell): 6.67
Space group: P4/mbm (127)

a b c (Å): 7.528 7.528 3.180
angles (deg): 90.00 90.00 90.00
Fractional coordinates of all 10 atoms:
Ti (0.160, 0.340, 0.000)
Ti (0.340, 0.840, 0.000)
Ti (0.660, 0.160, 0.000)
Ti (0.840, 0.660, 0.000)
Sb (0.000, 0.000, 0.000)
Sb (0.500, 0.500, 0.000)
Pd (0.131, 0.631, 0.500)
Pd (0.369, 0.131, 0.500)
Pd (0.631, 0.869, 0.500)
Pd (0.869, 0.369, 0.500)

Run b
This record from the Alexandria database describes crystalline Ti2SbPd2 at its relaxed geometry. The functional is GGA-PBE.

Results
Total magnetization (μB/f.u.): 0.000
DOS(E_F) (states/eV per cell): 9.11
Space group: P4/mbm (127)

a b c (Å): 7.436 7.436 3.163
angles (deg): 90.00 90.00 90.00
Fractional coordinates of all 10 atoms:
Ti (0.165, 0.335, 0.000)
Ti (0.335, 0.835, 0.000)
Ti (0.665, 0.165, 0.000)
Ti (0.835, 0.665, 0.000)
Sb (0.000, 0.000, 0.500)
Sb (0.500, 0.500, 0.500)
Pd (0.130, 0.630, 0.500)
Pd (0.370, 0.130, 0.500)
Pd (0.630, 0.870, 0.500)
Pd (0.870, 0.370, 0.500)

Run c
This record from the Alexandria database describes crystalline Ti2SbPd2 at its relaxed geometry. The functional is GGA-PBE.

Results
Total magnetization (μB/f.u.): 0.941
DOS(E_F) (states/eV per cell): 5.82
Space group: I4/mmm (139)

a b c (Å): 4.205 4.205 10.999
angles (deg): 90.00 90.00 90.00
Fractional coordinates of all 10 atoms:
Ti (0.000, 0.500, 0.250)
Ti (0.000, 0.500, 0.750)
Ti (0.500, 0.000, 0.250)
Ti (0.500, 0.000, 0.750)
Sb (0.000, 0.000, 0.000)
Sb (0.500, 0.500, 0.500)
Pd (0.000, 0.000, 0.383)
Pd (0.000, 0.000, 0.617)
Pd (0.500, 0.500, 0.117)
Pd (0.500, 0.500, 0.883)

Which of them is the least stable? Correct choice: run c.

Run a
This record from the Alexandria database describes crystalline TiSbPd3 at its relaxed geometry. The functional is GGA-PBE.

Results
Total magnetization (μB/f.u.): 0.000
DOS(E_F) (states/eV per cell): 5.02
Space group: Pmmn (59)

a b c (Å): 4.335 5.398 7.617
angles (deg): 90.00 90.00 90.00
Fractional coordinates of all 10 atoms:
Ti (0.250, 0.250, 0.073)
Ti (0.750, 0.750, 0.927)
Sb (0.250, 0.750, 0.333)
Sb (0.750, 0.250, 0.667)
Pd (0.250, 0.250, 0.438)
Pd (0.250, 0.507, 0.792)
Pd (0.250, 0.993, 0.792)
Pd (0.750, 0.007, 0.208)
Pd (0.750, 0.493, 0.208)
Pd (0.750, 0.750, 0.562)

Run b
This record from the Alexandria database describes crystalline TiSbPd3 at its relaxed geometry. The functional is GGA-PBE.

Results
Total magnetization (μB/f.u.): 0.121
DOS(E_F) (states/eV per cell): 9.61
Space group: Pm-3m (221)

a b c (Å): 4.867 4.867 4.867
angles (deg): 90.00 90.00 90.00
Fractional coordinates of all 5 atoms:
Ti (0.000, 0.000, 0.000)
Sb (0.500, 0.500, 0.500)
Pd (0.000, 0.500, 0.500)
Pd (0.500, 0.000, 0.500)
Pd (0.500, 0.500, 0.000)

Which of them is the least stable? Correct choice: run b.

Run a
This record from the Alexandria database describes crystalline Ti3SbPd at its relaxed geometry. The functional is GGA-PBE.

Results
Total magnetization (μB/f.u.): 2.052
DOS(E_F) (states/eV per cell): 13.68
Space group: P6_3/mmc (194)

a b c (Å): 6.522 6.522 5.190
angles (deg): 90.00 90.00 120.00
Fractional coordinates of all 10 atoms:
Ti (0.197, 0.395, 0.250)
Ti (0.197, 0.803, 0.250)
Ti (0.395, 0.197, 0.750)
Ti (0.605, 0.803, 0.250)
Ti (0.803, 0.197, 0.750)
Ti (0.803, 0.605, 0.750)
Sb (0.333, 0.667, 0.750)
Sb (0.667, 0.333, 0.250)
Pd (0.000, 0.000, 0.000)
Pd (0.000, 0.000, 0.500)

Run b
This record from the Alexandria database describes crystalline Ti3SbPd at its relaxed geometry. The functional is GGA-PBE.

Results
Total magnetization (μB/f.u.): 0.000
DOS(E_F) (states/eV per cell): 6.24
Space group: Pm-3m (221)

a b c (Å): 4.761 4.761 4.761
angles (deg): 90.00 90.00 90.00
Fractional coordinates of all 5 atoms:
Ti (0.000, 0.000, 0.500)
Ti (0.000, 0.500, 0.000)
Ti (0.500, 0.000, 0.000)
Sb (0.500, 0.500, 0.500)
Pd (0.000, 0.000, 0.000)

Which of them is the least stable? Correct choice: run b.

Run a
This record from the Alexandria database describes crystalline Ti2SbPd8 at its relaxed geometry. The functional is GGA-PBE.

Results
Total magnetization (μB/f.u.): 0.000
DOS(E_F) (states/eV per cell): 5.77
Space group: Immm (71)

a b c (Å): 7.257 7.257 7.257
angles (deg): 146.18 121.46 69.35
Fractional coordinates of all 11 atoms:
Ti (0.195, 0.195, 0.000)
Ti (0.805, 0.805, 0.000)
Sb (0.500, 0.500, 0.000)
Pd (0.064, 0.345, 0.719)
Pd (0.191, 0.000, 0.191)
Pd (0.343, 0.843, 0.500)
Pd (0.373, 0.655, 0.719)
Pd (0.627, 0.345, 0.281)
Pd (0.657, 0.157, 0.500)
Pd (0.809, 0.000, 0.809)
Pd (0.936, 0.655, 0.281)

Run b
This record from the Alexandria database describes crystalline Ti2SbPd8 at its relaxed geometry. The functional is GGA-PBE.

Results
Total magnetization (μB/f.u.): 0.000
DOS(E_F) (states/eV per cell): 7.54
Space group: C2/m (12)

a b c (Å): 7.392 7.392 6.328
angles (deg): 105.24 105.24 31.79
Fractional coordinates of all 11 atoms:
Ti (0.217, 0.217, 0.160)
Ti (0.783, 0.783, 0.840)
Sb (0.500, 0.500, 0.500)
Pd (0.043, 0.043, 0.234)
Pd (0.156, 0.156, 0.721)
Pd (0.320, 0.320, 0.580)
Pd (0.401, 0.401, 0.035)
Pd (0.599, 0.599, 0.965)
Pd (0.680, 0.680, 0.420)
Pd (0.844, 0.844, 0.279)
Pd (0.957, 0.957, 0.766)

Which of them is the least stable? Correct choice: run a.

Run a
This record from the Alexandria database describes crystalline TiSb2Pd2 at its relaxed geometry. The functional is GGA-PBE.

Results
Total magnetization (μB/f.u.): 0.000
DOS(E_F) (states/eV per cell): 4.92
Space group: P4/mbm (127)

a b c (Å): 7.689 7.689 3.307
angles (deg): 90.00 90.00 90.00
Fractional coordinates of all 10 atoms:
Ti (0.000, 0.000, 0.000)
Ti (0.500, 0.500, 0.000)
Sb (0.163, 0.337, 0.000)
Sb (0.337, 0.837, 0.000)
Sb (0.663, 0.163, 0.000)
Sb (0.837, 0.663, 0.000)
Pd (0.137, 0.637, 0.500)
Pd (0.363, 0.137, 0.500)
Pd (0.637, 0.863, 0.500)
Pd (0.863, 0.363, 0.500)

Run b
This record from the Alexandria database describes crystalline TiSb2Pd2 at its relaxed geometry. The functional is GGA-PBE.

Results
Total magnetization (μB/f.u.): 0.000
DOS(E_F) (states/eV per cell): 3.34
Space group: P4/mbm (127)

a b c (Å): 7.173 7.173 3.806
angles (deg): 90.00 90.00 90.00
Fractional coordinates of all 10 atoms:
Ti (0.000, 0.000, 0.000)
Ti (0.500, 0.500, 0.000)
Sb (0.177, 0.323, 0.500)
Sb (0.323, 0.823, 0.500)
Sb (0.677, 0.177, 0.500)
Sb (0.823, 0.677, 0.500)
Pd (0.132, 0.632, 0.000)
Pd (0.368, 0.132, 0.000)
Pd (0.632, 0.868, 0.000)
Pd (0.868, 0.368, 0.000)

Which of them is the least stable? Correct choice: run a.

Run a
This record from the Alexandria database describes crystalline Ti5Sb2Pd at its relaxed geometry. The functional is GGA-PBE.

Results
Total magnetization (μB/f.u.): 0.001
DOS(E_F) (states/eV per cell): 23.13
Space group: I4/mcm (140)

a b c (Å): 7.866 7.866 7.866
angles (deg): 96.30 96.30 141.31
Fractional coordinates of all 16 atoms:
Ti (0.076, 0.782, 0.858)
Ti (0.218, 0.076, 0.294)
Ti (0.250, 0.750, 0.500)
Ti (0.282, 0.576, 0.858)
Ti (0.424, 0.282, 0.706)
Ti (0.576, 0.718, 0.294)
Ti (0.718, 0.424, 0.142)
Ti (0.750, 0.250, 0.500)
Ti (0.782, 0.924, 0.706)
Ti (0.924, 0.218, 0.142)
Sb (0.163, 0.337, 0.500)
Sb (0.337, 0.837, 0.174)
Sb (0.663, 0.163, 0.826)
Sb (0.837, 0.663, 0.500)
Pd (0.250, 0.250, 0.000)
Pd (0.750, 0.750, 0.000)

Run b
This record from the Alexandria database describes crystalline Ti5Sb2Pd at its relaxed geometry. The functional is GGA-PBE.

Results
Total magnetization (μB/f.u.): 0.000
DOS(E_F) (states/eV per cell): 13.08
Space group: Cmcm (63)

a b c (Å): 5.278 5.278 16.422
angles (deg): 90.00 90.00 140.25
Fractional coordinates of all 16 atoms:
Ti (0.037, 0.963, 0.598)
Ti (0.037, 0.963, 0.902)
Ti (0.363, 0.637, 0.519)
Ti (0.363, 0.637, 0.981)
Ti (0.417, 0.583, 0.750)
Ti (0.583, 0.417, 0.250)
Ti (0.637, 0.363, 0.019)
Ti (0.637, 0.363, 0.481)
Ti (0.963, 0.037, 0.098)
Ti (0.963, 0.037, 0.402)
Sb (0.241, 0.759, 0.141)
Sb (0.241, 0.759, 0.359)
Sb (0.759, 0.241, 0.641)
Sb (0.759, 0.241, 0.859)
Pd (0.128, 0.872, 0.750)
Pd (0.872, 0.128, 0.250)

Which of them is the least stable? Correct choice: run b.